[1]
# Y3ZnIn, relaxed, DFT PBE
# **Density of states at the Fermi level**: 0.99 states/eV/atom
# **Space-group type**: Cmcm
# **Magnetic moment**: 0.00 μB per formula unit
# **Offset from the most stable computed form**: 0.000 eV per atom
# **Formation energy from the elements**: -331 meV per atom
# **Calculated volume**: 269 Å³/cell
data_Y3ZnIn
_cell_length_a 5.140
_cell_length_b 5.139
_cell_length_c 10.498
_cell_angle_alpha 90.00
_cell_angle_beta 75.83
_cell_angle_gamma 90.00
_symmetry_space_group_name_H-M 'P 1'
_symmetry_Int_Tables_number 1
_symmetry_space_group_name_Hall 'P 1'
loop_
_atom_site_label
_atom_site_type_symbol
_atom_site_fract_x
_atom_site_fract_y
_atom_site_fract_z
Y1 Y 0.574 0.250 0.500
Y2 Y 0.074 0.750 0.500
Y3 Y 0.259 0.750 0.129
Y4 Y 0.760 0.250 0.129
Y5 Y 0.889 0.750 0.871
Y6 Y 0.389 0.250 0.871
In1 In 0.165 0.250 0.318
In2 In 0.483 0.750 0.682
Zn1 Zn 0.668 0.750 0.313
Zn2 Zn 0.981 0.250 0.687



[2]
# K4NpSe4, relaxed, DFT PBE
# **Density of states at the Fermi level**: 0.75 states/eV/atom
# **Space-group type**: I-42m
# **Magnetic moment**: 3.00 μB per formula unit
# **E_form (uncorrected)**: -1045 meV per atom
# **Calculated volume**: 421 Å³/cell
data_K4NpSe4
_cell_length_a 7.912
_cell_length_b 7.912
_cell_length_c 8.745
_cell_angle_alpha 116.90
_cell_angle_beta 116.90
_cell_angle_gamma 90.00
_symmetry_space_group_name_H-M 'P 1'
_symmetry_Int_Tables_number 1
_symmetry_space_group_name_Hall 'P 1'
loop_
_atom_site_label
_atom_site_type_symbol
_atom_site_fract_x
_atom_site_fract_y
_atom_site_fract_z
Se1 Se 0.313 0.912 0.225
Se2 Se 0.912 0.313 0.225
Se3 Se 0.687 0.687 0.775
Se4 Se 0.088 0.088 0.775
K1 K 0.500 0.000 0.000
K2 K 0.701 0.701 0.402
K3 K 0.000 0.500 0.000
K4 K 0.299 0.299 0.598
Np1 Np 0.000 0.000 0.000



[3]
# Ce2Ge5Os3, relaxed, DFT PBE
# **Density of states at the Fermi level**: 0.77 states/eV/atom
# **Space-group type**: Ibam
# **Magnetic moment**: 0.18 μB per formula unit
# **Formation energy from the elements**: -462 meV per atom
# **Calculated volume**: 369 Å³/cell
data_Ce2Ge5Os3
_cell_length_a 5.929
_cell_length_b 8.500
_cell_length_c 8.500
_cell_angle_alpha 72.72
_cell_angle_beta 69.59
_cell_angle_gamma 69.59
_symmetry_space_group_name_H-M 'P 1'
_symmetry_Int_Tables_number 1
_symmetry_space_group_name_Hall 'P 1'
loop_
_atom_site_label
_atom_site_type_symbol
_atom_site_fract_x
_atom_site_fract_y
_atom_site_fract_z
Ge1 Ge 0.250 0.500 0.500
Ge2 Ge 0.591 0.741 0.077
Ge3 Ge 0.750 0.500 0.500
Ge4 Ge 0.909 0.923 0.259
Ge5 Ge 0.038 0.212 0.212
Ge6 Ge 0.091 0.077 0.741
Ge7 Ge 0.409 0.259 0.923
Ge8 Ge 0.962 0.788 0.788
Ge9 Ge 0.538 0.212 0.212
Ge10 Ge 0.462 0.788 0.788
Os1 Os 0.353 0.545 0.750
Os2 Os 0.853 0.750 0.545
Os3 Os 0.647 0.455 0.250
Os4 Os 0.147 0.250 0.455
Os5 Os 0.250 0.000 0.000
Os6 Os 0.750 0.000 0.000
Ce1 Ce 0.138 0.592 0.133
Ce2 Ce 0.638 0.133 0.592
Ce3 Ce 0.862 0.408 0.867
Ce4 Ce 0.362 0.867 0.408



[4]
# NdTm6Th12, relaxed, DFT PBE
# **Density of states at the Fermi level**: 1.60 states/eV/atom
# **Space-group type**: R-3m
# **Magnetic moment**: 0.00 μB per formula unit
# **Formation energy from the elements**: 240 meV per atom
# **Calculated volume**: 629 Å³/cell
data_NdTm6Th12
_cell_length_a 8.701
_cell_length_b 8.701
_cell_length_c 8.701
_cell_angle_alpha 99.38
_cell_angle_beta 99.38
_cell_angle_gamma 99.38
_symmetry_space_group_name_H-M 'P 1'
_symmetry_Int_Tables_number 1
_symmetry_space_group_name_Hall 'P 1'
loop_
_atom_site_label
_atom_site_type_symbol
_atom_site_fract_x
_atom_site_fract_y
_atom_site_fract_z
Tm1 Tm 0.900 0.900 0.340
Tm2 Tm 0.900 0.340 0.900
Tm3 Tm 0.660 0.100 0.100
Tm4 Tm 0.100 0.660 0.100
Tm5 Tm 0.340 0.900 0.900
Tm6 Tm 0.100 0.100 0.660
Th1 Th 0.755 0.500 0.245
Th2 Th 0.245 0.755 0.500
Th3 Th 0.350 0.350 0.084
Th4 Th 0.500 0.245 0.755
Th5 Th 0.350 0.084 0.350
Th6 Th 0.650 0.650 0.916
Th7 Th 0.245 0.500 0.755
Th8 Th 0.916 0.650 0.650
Th9 Th 0.500 0.755 0.245
Th10 Th 0.650 0.916 0.650
Th11 Th 0.755 0.245 0.500
Th12 Th 0.084 0.350 0.350
Nd1 Nd 0.000 0.000 0.000



[5]
# GaFeAs2Se, relaxed, DFT PBE
# **Density of states at the Fermi level**: 1.41 states/eV/atom
# **Space-group type**: P4/mmm
# **Magnetic moment**: 0.01 μB per formula unit
# **Offset from the most stable computed form**: 1.025 eV per atom
# **E_form (uncorrected)**: 1316 meV per atom
# **Calculated volume**: 103 Å³/cell
data_GaFeAs2Se
_cell_length_a 4.632
_cell_length_b 4.632
_cell_length_c 4.791
_cell_angle_alpha 90.00
_cell_angle_beta 90.00
_cell_angle_gamma 90.00
_symmetry_space_group_name_H-M 'P 1'
_symmetry_Int_Tables_number 1
_symmetry_space_group_name_Hall 'P 1'
loop_
_atom_site_label
_atom_site_type_symbol
_atom_site_fract_x
_atom_site_fract_y
_atom_site_fract_z
As1 As 0.000 0.500 0.000
As2 As 0.500 0.000 0.000
Se1 Se 0.000 0.000 0.500
Fe1 Fe 0.500 0.500 0.500
Ga1 Ga 0.000 0.000 0.000



[6]
# La2Tb5Tl3, relaxed, DFT PBE
# **Density of states at the Fermi level**: 1.39 states/eV/atom
# **Space-group type**: Ibam
# **Magnetic moment**: 0.83 μB per formula unit
# **Formation energy from the elements**: -67 meV per atom
# **Calculated volume**: 663 Å³/cell
data_La2Tb5Tl3
_cell_length_a 6.793
_cell_length_b 10.495
_cell_length_c 10.495
_cell_angle_alpha 91.35
_cell_angle_beta 71.12
_cell_angle_gamma 71.12
_symmetry_space_group_name_H-M 'P 1'
_symmetry_Int_Tables_number 1
_symmetry_space_group_name_Hall 'P 1'
loop_
_atom_site_label
_atom_site_type_symbol
_atom_site_fract_x
_atom_site_fract_y
_atom_site_fract_z
Tb1 Tb 0.990 0.760 0.760
Tb2 Tb 0.750 0.500 0.500
Tb3 Tb 0.577 0.763 0.084
Tb4 Tb 0.490 0.760 0.760
Tb5 Tb 0.510 0.240 0.240
Tb6 Tb 0.423 0.237 0.916
Tb7 Tb 0.250 0.500 0.500
Tb8 Tb 0.077 0.084 0.763
Tb9 Tb 0.923 0.916 0.237
Tb10 Tb 0.010 0.240 0.240
Tl1 Tl 0.134 0.223 0.509
Tl2 Tl 0.366 0.491 0.777
Tl3 Tl 0.634 0.509 0.223
Tl4 Tl 0.866 0.777 0.491
Tl5 Tl 0.750 0.000 0.000
Tl6 Tl 0.250 0.000 0.000
La1 La 0.855 0.437 0.854
La2 La 0.145 0.563 0.146
La3 La 0.645 0.146 0.563
La4 La 0.355 0.854 0.437



[7]
# NdZnHgPb, relaxed, DFT PBE
# **Density of states at the Fermi level**: 0.69 states/eV/atom
# **Space-group type**: F-43m
# **Magnetic moment**: 0.00 μB per formula unit
# **Formation energy from the elements**: -231 meV per atom
# **Calculated volume**: 103 Å³/cell
data_NdZnHgPb
_cell_length_a 5.260
_cell_length_b 5.260
_cell_length_c 5.260
_cell_angle_alpha 60.00
_cell_angle_beta 60.00
_cell_angle_gamma 60.00
_symmetry_space_group_name_H-M 'P 1'
_symmetry_Int_Tables_number 1
_symmetry_space_group_name_Hall 'P 1'
loop_
_atom_site_label
_atom_site_type_symbol
_atom_site_fract_x
_atom_site_fract_y
_atom_site_fract_z
Nd1 Nd 0.750 0.750 0.750
Zn1 Zn 0.000 0.000 0.000
Pb1 Pb 0.250 0.250 0.250
Hg1 Hg 0.500 0.500 0.500



[8]
# Pr3Si2Pd9Au, relaxed, DFT PBE
# **Density of states at the Fermi level**: 0.32 states/eV/atom
# **Space-group type**: P-3m1
# **Magnetic moment**: 0.00 μB per formula unit
# **E_form (uncorrected)**: -610 meV per atom
# **Calculated volume**: 315 Å³/cell
data_Pr3Si2Pd9Au
_cell_length_a 5.798
_cell_length_b 5.798
_cell_length_c 10.811
_cell_angle_alpha 90.00
_cell_angle_beta 90.00
_cell_angle_gamma 120.00
_symmetry_space_group_name_H-M 'P 1'
_symmetry_Int_Tables_number 1
_symmetry_space_group_name_Hall 'P 1'
loop_
_atom_site_label
_atom_site_type_symbol
_atom_site_fract_x
_atom_site_fract_y
_atom_site_fract_z
Pr1 Pr 0.333 0.667 0.603
Pr2 Pr 0.667 0.333 0.397
Pr3 Pr 0.000 0.000 0.000
Pd1 Pd 0.676 0.838 0.299
Pd2 Pd 0.162 0.838 0.299
Pd3 Pd 0.500 0.500 0.000
Pd4 Pd 0.838 0.676 0.701
Pd5 Pd 0.162 0.324 0.299
Pd6 Pd 0.000 0.500 0.000
Pd7 Pd 0.838 0.162 0.701
Pd8 Pd 0.500 0.000 0.000
Pd9 Pd 0.324 0.162 0.701
Si1 Si 0.667 0.333 0.843
Si2 Si 0.333 0.667 0.157
Au1 Au 0.000 0.000 0.500



[9]
# Ba2Mg12Ga7, relaxed, DFT PBE
# **Density of states at the Fermi level**: 0.55 states/eV/atom
# **Space-group type**: P-3
# **Magnetic moment**: 0.00 μB per formula unit
# **Formation energy from the elements**: -215 meV per atom
# **Calculated volume**: 498 Å³/cell
data_Ba2Mg12Ga7
_cell_length_a 4.497
_cell_length_b 11.311
_cell_length_c 11.311
_cell_angle_alpha 120.00
_cell_angle_beta 90.00
_cell_angle_gamma 90.00
_symmetry_space_group_name_H-M 'P 1'
_symmetry_Int_Tables_number 1
_symmetry_space_group_name_Hall 'P 1'
loop_
_atom_site_label
_atom_site_type_symbol
_atom_site_fract_x
_atom_site_fract_y
_atom_site_fract_z
Ba1 Ba 0.746 0.667 0.333
Ba2 Ba 0.254 0.333 0.667
Ga1 Ga 0.500 0.000 0.000
Ga2 Ga 0.750 0.592 0.882
Ga3 Ga 0.250 0.710 0.592
Ga4 Ga 0.750 0.118 0.710
Ga5 Ga 0.750 0.290 0.408
Ga6 Ga 0.250 0.408 0.118
Ga7 Ga 0.250 0.882 0.290
Mg1 Mg 0.754 0.883 0.737
Mg2 Mg 0.751 0.382 0.953
Mg3 Mg 0.246 0.117 0.263
Mg4 Mg 0.246 0.737 0.853
Mg5 Mg 0.249 0.429 0.382
Mg6 Mg 0.249 0.618 0.047
Mg7 Mg 0.751 0.047 0.429
Mg8 Mg 0.751 0.571 0.618
Mg9 Mg 0.249 0.953 0.571
Mg10 Mg 0.246 0.147 0.883
Mg11 Mg 0.754 0.263 0.147
Mg12 Mg 0.754 0.853 0.117



[10]
# InCo2Hg, relaxed, DFT PBE
# **Density of states at the Fermi level**: 1.28 states/eV/atom
# **Space-group type**: Cm
# **Magnetic moment**: 2.88 μB per formula unit
# **Offset from the most stable computed form**: 0.075 eV per atom
# **Formation energy from the elements**: 336 meV per atom
# **Calculated volume**: 65 Å³/cell
data_InCo2Hg
_cell_length_a 5.204
_cell_length_b 5.204
_cell_length_c 4.574
_cell_angle_alpha 71.18
_cell_angle_beta 71.18
_cell_angle_gamma 33.82
_symmetry_space_group_name_H-M 'P 1'
_symmetry_Int_Tables_number 1
_symmetry_space_group_name_Hall 'P 1'
loop_
_atom_site_label
_atom_site_type_symbol
_atom_site_fract_x
_atom_site_fract_y
_atom_site_fract_z
Hg1 Hg 0.519 0.519 0.453
Co1 Co 0.279 0.279 0.258
Co2 Co 0.970 0.970 0.994
In1 In 0.733 0.733 0.795



Repeat the eighth record exactly.
# Pr3Si2Pd9Au, relaxed, DFT PBE
# **Density of states at the Fermi level**: 0.32 states/eV/atom
# **Space-group type**: P-3m1
# **Magnetic moment**: 0.00 μB per formula unit
# **E_form (uncorrected)**: -610 meV per atom
# **Calculated volume**: 315 Å³/cell
data_Pr3Si2Pd9Au
_cell_length_a 5.798
_cell_length_b 5.798
_cell_length_c 10.811
_cell_angle_alpha 90.00
_cell_angle_beta 90.00
_cell_angle_gamma 120.00
_symmetry_space_group_name_H-M 'P 1'
_symmetry_Int_Tables_number 1
_symmetry_space_group_name_Hall 'P 1'
loop_
_atom_site_label
_atom_site_type_symbol
_atom_site_fract_x
_atom_site_fract_y
_atom_site_fract_z
Pr1 Pr 0.333 0.667 0.603
Pr2 Pr 0.667 0.333 0.397
Pr3 Pr 0.000 0.000 0.000
Pd1 Pd 0.676 0.838 0.299
Pd2 Pd 0.162 0.838 0.299
Pd3 Pd 0.500 0.500 0.000
Pd4 Pd 0.838 0.676 0.701
Pd5 Pd 0.162 0.324 0.299
Pd6 Pd 0.000 0.500 0.000
Pd7 Pd 0.838 0.162 0.701
Pd8 Pd 0.500 0.000 0.000
Pd9 Pd 0.324 0.162 0.701
Si1 Si 0.667 0.333 0.843
Si2 Si 0.333 0.667 0.157
Au1 Au 0.000 0.000 0.500



Copy entry 9 word for word.
# Ba2Mg12Ga7, relaxed, DFT PBE
# **Density of states at the Fermi level**: 0.55 states/eV/atom
# **Space-group type**: P-3
# **Magnetic moment**: 0.00 μB per formula unit
# **Formation energy from the elements**: -215 meV per atom
# **Calculated volume**: 498 Å³/cell
data_Ba2Mg12Ga7
_cell_length_a 4.497
_cell_length_b 11.311
_cell_length_c 11.311
_cell_angle_alpha 120.00
_cell_angle_beta 90.00
_cell_angle_gamma 90.00
_symmetry_space_group_name_H-M 'P 1'
_symmetry_Int_Tables_number 1
_symmetry_space_group_name_Hall 'P 1'
loop_
_atom_site_label
_atom_site_type_symbol
_atom_site_fract_x
_atom_site_fract_y
_atom_site_fract_z
Ba1 Ba 0.746 0.667 0.333
Ba2 Ba 0.254 0.333 0.667
Ga1 Ga 0.500 0.000 0.000
Ga2 Ga 0.750 0.592 0.882
Ga3 Ga 0.250 0.710 0.592
Ga4 Ga 0.750 0.118 0.710
Ga5 Ga 0.750 0.290 0.408
Ga6 Ga 0.250 0.408 0.118
Ga7 Ga 0.250 0.882 0.290
Mg1 Mg 0.754 0.883 0.737
Mg2 Mg 0.751 0.382 0.953
Mg3 Mg 0.246 0.117 0.263
Mg4 Mg 0.246 0.737 0.853
Mg5 Mg 0.249 0.429 0.382
Mg6 Mg 0.249 0.618 0.047
Mg7 Mg 0.751 0.047 0.429
Mg8 Mg 0.751 0.571 0.618
Mg9 Mg 0.249 0.953 0.571
Mg10 Mg 0.246 0.147 0.883
Mg11 Mg 0.754 0.263 0.147
Mg12 Mg 0.754 0.853 0.117



magnetic moment of number 7 (NdZnHgPb)?
0.00 μB per formula unit